# PmNd2C

A geometry-optimized PmNd2C structure (PBE, Alexandria via LeMat-Bulk).

The space group is R-3m (No. 166, hexagonal axes) and the conventional cell measures 3.6419, 3.6419 and 30.3505 Å, with angles of 90.00, 90.00 and 120.00 degrees. The distinct sites, in fractional coordinates, are Pm at (0.0000, 0.0000, 0.0000), Nd at (0.0000, 0.0000, 0.1198) and C at (0.0000, 0.0000, 0.5000).

The calculation puts the density of states at the Fermi level at 10.551 states/eV per cell. For the energy above the most stable polymorph in this dataset, the calculation gives 0 meV per atom. For the formation energy, the calculation gives 0.0408 eV/atom.



# PmNdC

A geometry-optimized PmNdC structure (PBE, Alexandria via LeMat-Bulk).

The space group is Amm2 (No. 38) and the conventional cell measures 12.898, 3.664 and 6.346 Å, with angles of 90.00, 90.00 and 90.00 degrees. The distinct sites, in fractional coordinates, are Pm at (0.114, 0.000, 0.000), Nd at (0.385, 0.000, 0.673), C at (0.000, 0.000, 0.667) and C at (0.500, 0.000, 0.007).

The calculation puts the density of states at the Fermi level at 8.581 states/eV per cell. For the energy above the most stable polymorph in this dataset, the calculation gives 276 meV per atom. For the formation energy, the calculation gives 0.1534 eV/atom.



# PmNdC

A geometry-optimized PmNdC structure (PBE, Alexandria via LeMat-Bulk).

The space group is Cm (No. 8) and the conventional cell measures 6.375, 3.684 and 6.895 Å, with angles of 90.00, 106.51 and 90.00 degrees. The distinct sites, in fractional coordinates, are Pm at (0.000, 0.000, 0.000), Nd at (0.464, 0.000, 0.426) and C at (0.231, 0.500, 0.209).

The calculation puts the density of states at the Fermi level at 4.963 states/eV per cell. For the energy above the most stable polymorph in this dataset, the calculation gives 0 meV per atom. For the formation energy, the calculation gives -0.1230 eV/atom.



# Pm2NdC3

A geometry-optimized Pm2NdC3 structure (PBE, Alexandria via LeMat-Bulk).

The space group is Imma (No. 74) and the conventional cell measures 5.925, 10.556 and 7.876 Å, with angles of 90.00, 90.00 and 90.00 degrees. The distinct sites, in fractional coordinates, are Pm at (0.000, 0.074, 0.166), Nd at (0.000, 0.250, 0.526), C at (0.114, 0.000, 0.500) and C at (0.250, 0.250, 0.250).

The calculation puts the density of states at the Fermi level at 12.492 states/eV per cell. For the formation energy, the calculation gives 0.0256 eV/atom.